Below is an optimized crystal structure of Sr3AgAs2O8, with properties calculated at the PBE level.

POSCAR file:
```
Sr3AgAs2O8
1.0
5.659 0.000 0.000
-2.829 4.901 0.000
0.000 0.000 8.567
O Sr As Ag
8 3 2 1
direct
0.667 0.333 0.025 O
0.333 0.667 0.975 O
0.335 0.168 0.754 O
0.665 0.832 0.246 O
0.168 0.335 0.246 O
0.168 0.832 0.246 O
0.832 0.168 0.754 O
0.832 0.665 0.754 O
0.333 0.667 0.706 Sr
0.000 0.000 0.000 Sr
0.667 0.333 0.294 Sr
0.667 0.333 0.823 As
0.333 0.667 0.177 As
0.000 0.000 0.500 Ag
```

## Properties
**Symmetry**: P-3m1 (164)
**V**: 238 Å³/cell
**Spin magnetization**: 0.00 μB/cell
**Electronic total energy**: -5.9102 eV per atom